No. 1
Computed, not measured: crystalline HfAlPO at its relaxed geometry at the GGA-PBE level of DFT.

Unit cell a=3.5597 b=3.5597 c=9.2506 alpha=90.00 beta=90.00 gamma=90.00
Closest atoms and distances in Å follow each position.
Element x y z (fractional)
Hf  0.2500  0.2500  0.1339  4 O 2.17
Hf  0.7500  0.7500  0.8661  4 O 2.17
Al  0.2500  0.7500  0.5000  4 Al 2.52, 4 P 2.74
Al  0.7500  0.2500  0.5000  4 Al 2.52, 4 P 2.74
P  0.2500  0.2500  0.7246  4 Al 2.74, 4 Hf 2.84
P  0.7500  0.7500  0.2754  4 Al 2.74, 4 Hf 2.84
O  0.2500  0.7500  0.0000  4 Hf 2.17
O  0.7500  0.2500  0.0000  4 Hf 2.17

Values from the calculation:
* crystal system: tetragonal
* mass density: 7153 kg/m3
* VASP energy: -58.96 eV for the cell shown



No. 2
Computed, not measured: crystalline LuBeO3 at its relaxed geometry at the GGA-PBE level of DFT.

Unit cell a=5.4500 b=5.4500 c=5.4500 alpha=57.81 beta=57.81 gamma=57.81
Closest atoms and distances in Å follow each position.
Element x y z (fractional)
Lu  0.1419  0.1419  0.1419  6 O 2.17-2.24
Lu  0.8581  0.8581  0.8581  6 O 2.17-2.24
Be  0.3960  0.3960  0.3960  3 O 1.59
Be  0.6040  0.6040  0.6040  3 O 1.59
O  0.1021  0.6917  0.4608  1 Be 1.59
O  0.3083  0.5392  0.8979  1 Be 1.59
O  0.4608  0.1021  0.6917  1 Be 1.59
O  0.5392  0.8979  0.3083  1 Be 1.59
O  0.6917  0.4608  0.1021  1 Be 1.59
O  0.8979  0.3083  0.5392  1 Be 1.59

Values from the calculation:
* crystal system: trigonal
* mass density: 7087 kg/m3
* VASP energy: -70.56 eV for the cell shown



No. 3
Computed, not measured: crystalline Cd2O at its relaxed geometry at the GGA-PBE level of DFT.

Unit cell a=5.5612 b=5.5612 c=3.5039 alpha=90.00 beta=90.00 gamma=90.00
Closest atoms and distances in Å follow each position.
Element x y z (fractional)
Cd  0.2067  0.2067  0.0000  3 O 2.31-2.39
Cd  0.2933  0.7067  0.5000  3 O 2.31-2.39
Cd  0.7067  0.2933  0.5000  3 O 2.31-2.39
Cd  0.7933  0.7933  0.0000  3 O 2.31-2.39
O  0.0000  0.0000  0.5000  6 Cd 2.31-2.39
O  0.5000  0.5000  0.0000  6 Cd 2.31-2.39

Values from the calculation:
* crystal system: tetragonal
* mass density: 7380 kg/m3
* VASP energy: -15.80 eV for the cell shown